1.
Dy7Y2Ho | PBE-GGA | optimized geometry

Cell lengths 9.8161, 9.8161, 5.0871 Å; angles 90.00, 90.00, 128.30 degrees
Fractional coordinates of all 10 atoms:
Dy (0.0000, 0.0000, 0.0000)
Dy (0.2146, 0.4242, 0.0000)
Dy (0.3084, 0.6916, 0.5000)
Dy (0.4242, 0.2146, 0.0000)
Dy (0.5758, 0.7854, 0.0000)
Dy (0.6916, 0.3084, 0.5000)
Dy (0.7854, 0.5758, 0.0000)
Y (0.2036, 0.7964, 0.0000)
Y (0.7964, 0.2036, 0.0000)
Ho (0.5000, 0.5000, 0.5000)

Symmetry: No. 65
Size of the total moment (μB/cell): 0.0
DFT formation energy (eV per formula unit): 6.96
Polymorph energy (0 for the lowest one) (meV/atom): 494

---

2.
Dy2Y3Ho7 | PBE-GGA | optimized geometry

Cell lengths 5.7527, 3.5694, 18.5653 Å; angles 90.00, 93.42, 90.00 degrees
Fractional coordinates of all 12 atoms:
Dy (0.2056, 0.0000, 0.2941)
Dy (0.7944, 0.0000, 0.7059)
Y (0.0000, 0.0000, 0.0000)
Y (0.2814, 0.5000, 0.6324)
Y (0.7186, 0.5000, 0.3676)
Ho (0.1837, 0.5000, 0.1438)
Ho (0.2421, 0.0000, 0.4628)
Ho (0.3147, 0.0000, 0.8223)
Ho (0.5000, 0.5000, 0.0000)
Ho (0.6853, 0.0000, 0.1777)
Ho (0.7579, 0.0000, 0.5372)
Ho (0.8163, 0.5000, 0.8562)

Symmetry: No. 10
Size of the total moment (μB/cell): 0.0
DFT formation energy (eV per formula unit): 1.05
Polymorph energy (0 for the lowest one) (meV/atom): 9

---

3.
DyY5Ho3 | PBE-GGA | optimized geometry

Cell lengths 8.7149, 8.7149, 11.7008 Å; angles 106.82, 106.82, 45.05 degrees
Fractional coordinates of all 18 atoms:
Dy (0.1905, 0.8095, 0.7500)
Dy (0.8095, 0.1905, 0.2500)
Y (0.0228, 0.4100, 0.7657)
Y (0.2611, 0.3729, 0.5509)
Y (0.3018, 0.6982, 0.2500)
Y (0.3729, 0.2611, 0.0509)
Y (0.4100, 0.0228, 0.2657)
Y (0.5900, 0.9772, 0.7343)
Y (0.6271, 0.7389, 0.9491)
Y (0.6982, 0.3018, 0.7500)
Y (0.7389, 0.6271, 0.4491)
Y (0.9772, 0.5900, 0.2343)
Ho (0.0544, 0.1605, 0.0129)
Ho (0.1605, 0.0544, 0.5129)
Ho (0.5000, 0.5000, 0.0000)
Ho (0.5000, 0.5000, 0.5000)
Ho (0.8395, 0.9456, 0.4871)
Ho (0.9456, 0.8395, 0.9871)

Symmetry: No. 15
Size of the total moment (μB/cell): 0.0
DFT formation energy (eV per formula unit): 1.98
Polymorph energy (0 for the lowest one) (meV/atom): 163

---

4.
Dy3Y2Ho3 | PBE-GGA | optimized geometry

Cell lengths 12.0209, 12.0209, 6.1644 Å; angles 104.84, 104.84, 17.02 degrees
Fractional coordinates of all 8 atoms:
Dy (0.0000, 0.0000, 0.0000)
Dy (0.1242, 0.1242, 0.4576)
Dy (0.8758, 0.8758, 0.5424)
Y (0.2499, 0.2499, 0.2498)
Y (0.7501, 0.7501, 0.7502)
Ho (0.3757, 0.3757, 0.0427)
Ho (0.5000, 0.5000, 0.5000)
Ho (0.6243, 0.6243, 0.9573)

Symmetry: No. 12
Size of the total moment (μB/cell): 0.0
DFT formation energy (eV per formula unit): 0.04
Polymorph energy (0 for the lowest one) (meV/atom): 0

---

5.
Dy3Y4Ho3 | PBE-GGA | optimized geometry

Cell lengths 3.6948, 9.3228, 9.3228 Å; angles 89.98, 90.00, 90.00 degrees
Fractional coordinates of all 10 atoms:
Dy (0.0000, 0.0000, 0.0000)
Dy (0.0000, 0.4999, 0.8439)
Dy (0.0000, 0.8439, 0.4999)
Y (0.5000, 0.0456, 0.2990)
Y (0.5000, 0.2990, 0.0456)
Y (0.5000, 0.5451, 0.5451)
Y (0.5000, 0.7988, 0.7988)
Ho (0.0000, 0.3441, 0.3441)
Ho (0.5000, 0.1723, 0.6715)
Ho (0.5000, 0.6715, 0.1723)

Symmetry: No. 38
Size of the total moment (μB/cell): 0.0
DFT formation energy (eV per formula unit): 1.08

---

6.
Dy3YHo5 | PBE-GGA | optimized geometry

Cell lengths 9.4413, 9.4413, 9.8992 Å; angles 121.13, 121.13, 73.82 degrees
Fractional coordinates of all 18 atoms:
Dy (0.0000, 0.0000, 0.0000)
Dy (0.0101, 0.0101, 0.3155)
Dy (0.4802, 0.4802, 0.1381)
Dy (0.5000, 0.5000, 0.5000)
Dy (0.5198, 0.5198, 0.8619)
Dy (0.9899, 0.9899, 0.6845)
Y (0.2490, 0.2490, 0.0985)
Y (0.7510, 0.7510, 0.9015)
Ho (0.0977, 0.6006, 0.7503)
Ho (0.2217, 0.2217, 0.7298)
Ho (0.2412, 0.7588, 0.5000)
Ho (0.2777, 0.2777, 0.4620)
Ho (0.3994, 0.9023, 0.2497)
Ho (0.6006, 0.0977, 0.7503)
Ho (0.7223, 0.7223, 0.5380)
Ho (0.7588, 0.2412, 0.5000)
Ho (0.7783, 0.7783, 0.2702)
Ho (0.9023, 0.3994, 0.2497)

Symmetry: No. 12
Size of the total moment (μB/cell): 0.0
DFT formation energy (eV per formula unit): 4.77
Polymorph energy (0 for the lowest one) (meV/atom): 300